{"formula": "Ho2CuSn", "functional": "PBE", "state": "optimized geometry", "lattice_angstrom": [[1.7811, 1.0283, 10.1208], [-1.7811, 1.0283, 10.1208], [0.0000, -2.0567, 10.1208]], "species": ["Ho", "Ho", "Cu", "Sn"], "frac_coords": [[0.1022, 0.1022, 0.1022], [0.8978, 0.8978, 0.8978], [0.5000, 0.5000, 0.5000], [0.0000, 0.0000, 0.0000]], "space_group": "No. 166", "e_tot_ev_per_atom": -4.22}